# Ac2La5Y6 (PBE, relaxed)
# - ΔH_f (0 K) (meV/atom) = 100
# - total magnetic moment (Bohr magnetons per cell) = 0.00
# - volume (Å³/atom) = 36.36
data_Ac2La5Y6
_cell_length_a 12.139
_cell_length_b 21.056
_cell_length_c 3.699
_cell_angle_alpha 90.00
_cell_angle_beta 90.00
_cell_angle_gamma 90.00
_space_group_name_H-M_alt 'P b a m'
_space_group_IT_number 55
loop_
_space_group_symop_operation_xyz
'x,y,z'
'-x,-y,-z'
'-x,-y,z'
'x,y,-z'
'x+1/2,-y+1/2,-z'
'-x+1/2,y+1/2,z'
'-x+1/2,y+1/2,-z'
'x+1/2,-y+1/2,z'
loop_
_atom_site_label
_atom_site_type_symbol
_atom_site_fract_x
_atom_site_fract_y
_atom_site_fract_z
Ac1 Ac 0.169 0.222 0.000
La1 La 0.000 0.500 0.500
La2 La 0.090 0.785 0.500
La3 La 0.205 0.053 0.500
Y1 Y 0.061 0.926 0.000
Y2 Y 0.068 0.639 0.000
Y3 Y 0.186 0.378 0.500

# Nd4In2Hg (PBE, relaxed)
# - ΔH_f (0 K) (meV/atom) = -330
# - total magnetic moment (Bohr magnetons per cell) = 0.01
# - volume (Å³/atom) = 31.71
data_Nd4In2Hg
_cell_length_a 5.4261
_cell_length_b 5.4261
_cell_length_c 26.1157
_cell_angle_alpha 90.00
_cell_angle_beta 90.00
_cell_angle_gamma 120.00
_space_group_name_H-M_alt 'R -3 m'
_space_group_IT_number 166
_space_group_name_Hall '-R 3 2"'
loop_
_atom_site_label
_atom_site_type_symbol
_atom_site_fract_x
_atom_site_fract_y
_atom_site_fract_z
Nd1 Nd 0.0000 0.0000 0.1200
Nd2 Nd 0.0000 0.0000 0.3722
In1 In 0.0000 0.0000 0.2483
Hg1 Hg 0.0000 0.0000 0.5000